[1]
LaErNi2Ge4: relaxed, PBE.

Cell: 4.215 4.205 16.783 Å, 90.00 90.00 90.00°
Space group Amm2 (No. 38)
One atom of each set of equivalent atoms:
La1 0.000 0.000 0.000 (multiplicity 2)
Er1 0.500 0.000 0.217 (multiplicity 2)
Ni1 0.000 0.000 0.787 (multiplicity 2)
Ni2 0.500 0.000 0.426 (multiplicity 2)
Ge1 0.000 0.000 0.356 (multiplicity 2)
Ge2 0.000 0.000 0.651 (multiplicity 2)
Ge3 0.500 0.000 0.567 (multiplicity 2)
Ge4 0.500 0.000 0.855 (multiplicity 2)

Summary:
* uncorrected energy: -89.77 eV/cell
* mass density: 7.97 g/cm³

[2]
Hf2ZrTe2: relaxed, PBE.

Cell: 3.970 3.970 15.455 Å, 90.00 90.00 90.00°
Space group I4/mmm (No. 139)
One atom of each set of equivalent atoms:
Hf1 0.000 0.500 0.250 (multiplicity 4)
Zr1 0.000 0.000 0.000 (multiplicity 2)
Te1 0.000 0.000 0.395 (multiplicity 4)

Summary:
* uncorrected energy: -70.53 eV/cell
* mass density: 9.59 g/cm³

[3]
DyYAl6: relaxed, PBE.

Cell: 6.2786 6.2786 4.6103 Å, 90.00 90.00 120.00°
Space group P-6m2 (No. 187)
One atom of each set of equivalent atoms:
Dy1 0.0000 0.0000 0.0000 (multiplicity 1)
Y1 0.6667 0.3333 0.5000 (multiplicity 1)
Al1 0.0396 0.5198 0.0000 (multiplicity 3)
Al2 0.1863 0.3726 0.5000 (multiplicity 3)

Summary:
* uncorrected energy: -37.02 eV/cell
* mass density: 4.36 g/cm³